An optimized crystal structure of CoOs2O, computed with PBE with a Hubbard U.

```
4
Lattice="0.000 2.847 2.847 2.847 0.000 2.847 2.847 2.847 0.000" Properties=species:S:1:pos:R:3 pbc="T T T"
Co 2.847 2.847 2.847
Os 1.424 1.424 1.424
Os 4.271 4.271 4.271
O 0.000 0.000 0.000
```

Summary:
Mass density, g/cm3: 16.4
DOS at the Fermi energy, states/eV/cell: 4.309
E above lowest polymorph, meV/atom: 0